Here is an optimized crystal structure of LiV2OF5 from Alexandria via LeMat-Bulk. Energies are from GGA+U.

Geometry as POSCAR:
```
LiV2OF5
1.0
-0.654 -2.029 4.746
4.745 0.164 -2.128
2.110 12.587 5.672
V F Li O
6 15 3 3
Direct
0.309 0.665 0.175
0.335 0.643 0.663
0.022 0.024 0.508
0.975 0.998 0.997
0.669 0.311 0.842
0.690 0.358 0.330
0.639 0.996 0.251
0.024 0.694 0.584
0.734 0.673 0.427
0.382 0.966 0.758
0.051 0.319 0.091
0.337 0.310 0.918
0.661 0.977 0.588
0.605 0.599 0.760
0.982 0.672 0.922
0.368 0.083 0.425
0.014 0.399 0.758
0.356 0.351 0.255
0.935 0.282 0.425
0.660 0.728 0.094
0.250 0.952 0.092
0.656 0.339 0.539
0.349 0.677 0.872
0.994 0.984 0.205
0.710 0.043 0.919
0.291 0.334 0.586
0.999 0.623 0.253
```

Values from the calculation:
* space group: P3_2
* calculated total energy: -6.1674 eV/atom